VASP calculation (PBE-GGA) on a relaxed Rb2ScSbF6 crystal.

Values from the calculation:
Volume, Å³ per atom: 21.7
Raw formation energy, eV per atom: -2.7754
VASP energy, eV/atom: -5.137

Cell: 7.105 7.105 6.615 Å, 57.52 57.52 90.00°
Positions (direct):
Sc 0.500 0.500 0.000
Sb 0.000 0.000 0.000
Rb 0.750 0.250 0.500
Rb 0.250 0.750 0.500
F 0.258 0.258 0.483
F 0.742 0.742 0.517
F 0.300 0.300 0.000
F 0.700 0.700 0.000
F 0.700 0.300 0.000
F 0.300 0.700 0.000